No. 1
DFT (PBE-GGA) results for V5Cr2H12 after structural relaxation.

Cell and atoms, written as POSCAR:
```
V5Cr2H12
1.0
4.891 0.000 0.000
-2.445 4.739 0.124
0.000 -1.521 5.416
H V Cr
12 5 2
Direct
0.928 0.856 0.161
0.514 0.633 0.904
0.118 0.633 0.904
0.486 0.367 0.096
0.601 0.694 0.419
0.093 0.694 0.419
0.507 0.013 0.777
0.882 0.367 0.096
0.399 0.306 0.581
0.907 0.306 0.581
0.072 0.144 0.839
0.493 0.987 0.223
0.692 0.385 0.373
0.284 0.568 0.174
0.308 0.615 0.627
0.716 0.432 0.826
0.000 0.000 0.500
0.760 0.000 0.000
0.240 0.000 0.000
```

Computed properties:
* raw total energy: -5.580 eV/atom
* Fermi-level density of states: 7.6 states/eV per cell

No. 2
DFT (PBE-GGA) results for YCuCl4 after structural relaxation.

Cell and atoms, written as POSCAR:
```
YCuCl4
1.0
5.361 -1.345 1.629
1.504 -5.520 0.681
3.610 -2.485 -3.741
Y Cl Cu
1 4 1
Direct
0.000 0.000 0.000
0.375 0.375 0.375
0.375 0.874 0.375
0.874 0.375 0.375
0.375 0.375 0.874
0.750 0.750 0.750
```

Computed properties:
* polymorph energy (0 for the lowest one): 1635 meV/atom
* formation energy without anion corrections: 7 meV per atom
* Fermi-level density of states: 6.3 states/eV per cell

No. 3
DFT (PBE-GGA) results for BaAc2NpN4 after structural relaxation.

Cell and atoms, written as POSCAR:
```
BaAc2NpN4
1.0
-3.368 0.858 -1.755
-1.561 -1.425 6.616
1.632 12.874 3.159
N Ac Ba Np
8 4 2 2
Direct
0.000 0.000 0.000
0.736 0.472 0.876
0.415 0.831 0.750
0.264 0.528 0.376
0.736 0.472 0.624
0.585 0.169 0.250
0.000 0.000 0.500
0.264 0.528 0.124
0.627 0.255 0.035
0.373 0.745 0.535
0.373 0.745 0.965
0.627 0.255 0.465
0.102 0.205 0.750
0.898 0.795 0.250
0.832 0.664 0.750
0.168 0.336 0.250
```

Computed properties:
* formation energy without anion corrections: -854 meV per atom
* Fermi-level density of states: 12.5 states/eV per cell

No. 4
DFT (PBE-GGA) results for TeBrCl after structural relaxation.

Cell and atoms, written as POSCAR:
```
TeBrCl
1.0
3.541 0.003 0.003
-0.008 4.305 0.004
-1.733 -1.450 6.992
Te Cl Br
1 1 1
Direct
0.224 0.973 0.076
0.344 0.634 0.324
0.094 0.333 0.809
```

Computed properties:
* polymorph energy (0 for the lowest one): 135 meV/atom
* formation energy without anion corrections: -234 meV per atom
* Fermi-level density of states: 0.9 states/eV per cell

No. 5
DFT (PBE-GGA) results for SrZr3Rh after structural relaxation.

Cell and atoms, written as POSCAR:
```
SrZr3Rh
1.0
5.000 0.000 0.000
0.000 5.000 0.000
0.000 0.000 5.000
Rh Zr Sr
1 3 1
Direct
0.500 0.500 0.500
0.500 0.000 0.000
0.000 0.000 0.500
0.000 0.500 0.000
0.000 0.000 0.000
```

Computed properties:
* polymorph energy (0 for the lowest one): 1833 meV/atom
* energy relative to the elements: 2.00 eV/atom
* Fermi-level density of states: 20.1 states/eV per cell

No. 6
DFT (PBE-GGA) results for TmScTlAu after structural relaxation.

Cell and atoms, written as POSCAR:
```
TmScTlAu
1.0
-1.568 -4.790 0.509
3.335 -3.655 1.085
-0.032 -2.182 4.571
Sc Tm Tl Au
1 1 1 1
Direct
0.250 0.250 0.250
0.750 0.750 0.750
0.500 0.500 0.500
0.000 0.000 0.000
```

Computed properties:
* polymorph energy (0 for the lowest one): 40 meV/atom
* energy relative to the elements: -0.53 eV/atom
* Fermi-level density of states: 2.8 states/eV per cell

No. 7
DFT (PBE-GGA) results for BaSbCl2 after structural relaxation.

Cell and atoms, written as POSCAR:
```
BaSbCl2
1.0
5.694 0.000 0.000
2.847 4.931 0.000
2.847 1.644 4.649
Ba Sb Cl
1 1 2
Direct
0.500 0.500 0.500
0.750 0.750 0.750
0.250 0.250 0.250
0.000 0.000 0.000
```

Computed properties:
* polymorph energy (0 for the lowest one): 454 meV/atom
* formation energy without anion corrections: -846 meV per atom
* Fermi-level density of states: 0.6 states/eV per cell

No. 8
DFT (PBE-GGA) results for Zn2GaAg after structural relaxation.

Cell and atoms, written as POSCAR:
```
Zn2GaAg
1.0
-1.039 0.376 -2.740
1.383 -1.255 -2.289
-4.856 -7.422 -0.772
Zn Ag Ga
2 1 1
Direct
0.083 0.083 0.751
0.250 0.250 0.249
0.500 0.500 0.499
0.667 0.667 0.000
```

Computed properties:
* energy relative to the elements: -0.01 eV/atom
* Fermi-level density of states: 1.3 states/eV per cell

No. 9
DFT (PBE-GGA) results for Co2CuSiH after structural relaxation.

Cell and atoms, written as POSCAR:
```
Co2CuSiH
1.0
-1.055 3.378 0.865
-2.647 -1.364 2.099
2.153 -0.020 2.703
Co H Cu Si
2 1 1 1
Direct
0.500 0.000 0.000
0.000 0.500 0.000
0.000 0.000 0.000
0.000 0.000 0.500
0.500 0.500 0.500
```

Computed properties:
* raw total energy: -5.561 eV/atom
* Fermi-level density of states: 2.1 states/eV per cell

No. 10
DFT (PBE-GGA) results for NaGaF3 after structural relaxation.

Cell and atoms, written as POSCAR:
```
NaGaF3
1.0
-1.893 3.913 4.061
-5.431 -0.530 -2.020
1.878 -3.502 4.250
F Na Ga
6 2 2
Direct
0.750 0.876 0.641
0.750 0.359 0.235
0.750 0.765 0.124
0.250 0.876 0.235
0.250 0.359 0.124
0.250 0.765 0.641
0.000 0.000 0.000
0.500 0.000 0.000
0.000 0.667 0.333
0.500 0.667 0.333
```

Computed properties:
* polymorph energy (0 for the lowest one): 290 meV/atom
* formation energy without anion corrections: -2233 meV per atom
* Fermi-level density of states: 2.8 states/eV per cell

No. 11
DFT (PBE-GGA) results for CaRuPt2 after structural relaxation.

Cell and atoms, written as POSCAR:
```
CaRuPt2
1.0
-3.682 3.061 3.337
0.548 0.386 5.798
1.961 0.901 -5.423
Pt Ru Ca
2 1 1
Direct
0.745 0.245 0.500
0.981 0.981 0.000
0.525 0.525 0.000
0.249 0.749 0.500
```

Computed properties:
* polymorph energy (0 for the lowest one): 140 meV/atom
* energy relative to the elements: -0.12 eV/atom
* Fermi-level density of states: 4.9 states/eV per cell

No. 12
DFT (PBE-GGA) results for Zn2RuPb after structural relaxation.

Cell and atoms, written as POSCAR:
```
Zn2RuPb
1.0
-1.466 2.926 -0.720
-0.741 0.426 3.240
5.528 2.985 0.871
Ru Pb Zn
1 1 2
Direct
0.500 0.500 0.796
0.000 0.000 0.519
0.000 0.000 0.984
0.500 0.500 0.201
```

Computed properties:
* energy relative to the elements: 0.17 eV/atom
* Fermi-level density of states: 1.6 states/eV per cell

No. 13
DFT (PBE-GGA) results for Ac2La3TmSb6 after structural relaxation.

Cell and atoms, written as POSCAR:
```
Ac2La3TmSb6
1.0
-7.408 -1.278 2.859
2.574 -4.049 -6.455
4.300 -3.690 5.708
Sb La Ac Tm
6 3 2 1
Direct
0.402 0.083 0.250
0.083 0.402 0.250
0.233 0.233 0.746
0.917 0.598 0.750
0.598 0.917 0.750
0.767 0.767 0.254
0.500 0.500 0.500
0.829 0.171 0.500
0.171 0.829 0.500
0.335 0.665 0.000
0.665 0.335 0.000
0.000 0.000 0.000
```

Computed properties:
* formation energy without anion corrections: -1196 meV per atom
* Fermi-level density of states: 1.4 states/eV per cell

No. 14
DFT (PBE-GGA) results for InCuSb2 after structural relaxation.

Cell and atoms, written as POSCAR:
```
InCuSb2
1.0
9.479 -0.134 -0.079
8.902 3.259 -0.079
8.902 1.514 2.888
Sb Cu In
2 1 1
Direct
0.232 0.232 0.232
0.004 0.004 0.004
0.500 0.500 0.500
0.764 0.764 0.764
```

Computed properties:
* formation energy without anion corrections: 187 meV per atom
* Fermi-level density of states: 2.8 states/eV per cell

No. 15
DFT (PBE-GGA) results for AlNiPd2 after structural relaxation.

Cell and atoms, written as POSCAR:
```
AlNiPd2
1.0
3.743 0.000 0.000
0.000 3.743 0.000
1.871 1.871 8.738
Al Pd Ni
2 4 2
Direct
0.500 0.500 0.000
0.250 0.750 0.500
0.375 0.373 0.750
0.123 0.625 0.250
0.875 0.877 0.750
0.627 0.125 0.250
0.750 0.250 0.500
0.000 0.000 0.000
```

Computed properties:
* energy relative to the elements: -0.13 eV/atom
* Fermi-level density of states: 9.1 states/eV per cell

No. 16
DFT (PBE-GGA) results for Te3Mo2 after structural relaxation.

Cell and atoms, written as POSCAR:
```
Te3Mo2
1.0
-1.130 -4.436 -5.131
6.119 -1.370 2.820
-4.922 -0.602 4.720
Te Mo
6 4
Direct
0.365 0.865 0.500
0.886 0.534 0.896
0.639 0.990 0.104
0.240 0.389 0.604
0.784 0.636 0.396
0.115 0.115 0.000
0.361 0.575 0.075
0.536 0.250 0.425
0.825 0.111 0.575
0.500 0.286 0.925
```

Computed properties:
* polymorph energy (0 for the lowest one): 0 meV/atom
* formation energy without anion corrections: 45 meV per atom
* Fermi-level density of states: 3.2 states/eV per cell

No. 17
DFT (PBE-GGA) results for Rb2LiBi4 after structural relaxation.

Cell and atoms, written as POSCAR:
```
Rb2LiBi4
1.0
5.422 0.000 0.000
0.000 5.422 0.000
2.711 2.711 9.487
Rb Bi Li
2 4 1
Direct
0.341 0.341 0.319
0.659 0.659 0.681
0.132 0.132 0.735
0.868 0.868 0.265
0.500 0.000 0.000
0.000 0.500 0.000
0.000 0.000 0.000
```

Computed properties:
* energy relative to the elements: -0.05 eV/atom
* Fermi-level density of states: 4.1 states/eV per cell

No. 18
DFT (PBE-GGA) results for YCdBi2 after structural relaxation.

Cell and atoms, written as POSCAR:
```
YCdBi2
1.0
-3.680 0.105 -2.677
2.286 -2.247 -3.231
-3.362 -9.525 4.246
Bi Cd Y
4 2 2
Direct
0.000 0.500 0.784
0.000 0.000 0.500
0.500 0.500 0.500
0.500 0.000 0.216
0.000 0.000 0.000
0.500 0.500 0.000
0.000 0.500 0.270
0.500 0.000 0.730
```

Computed properties:
* energy relative to the elements: -0.38 eV/atom
* Fermi-level density of states: 5.0 states/eV per cell

No. 19
DFT (PBE-GGA) results for Li3Tb after structural relaxation.

Cell and atoms, written as POSCAR:
```
Li3Tb
1.0
4.436 0.000 0.000
0.000 4.436 0.000
-2.218 -2.218 4.701
Li Tb
3 1
Direct
0.750 0.250 0.500
0.500 0.500 0.000
0.250 0.750 0.500
0.000 0.000 0.000
```

Computed properties:
* polymorph energy (0 for the lowest one): 158 meV/atom
* energy relative to the elements: 0.20 eV/atom
* Fermi-level density of states: 3.3 states/eV per cell